# AlAsCl2 | the Alexandria database | PBE | optimized geometry
# ρ	3.65	Mg/m³
# formation energy (no corrections)	0.76	eV/f.u.
# total magnetization	0.001	μB/f.u.
data_AlAsCl2
_space_group_name_H-M_alt 'F -4 3 m'
_space_group_IT_number 216
_space_group_name_Hall 'F -4 2 3'
_cell_length_a 6.802
_cell_length_b 6.802
_cell_length_c 6.802
_cell_angle_alpha 90.00
_cell_angle_beta 90.00
_cell_angle_gamma 90.00
loop_
_atom_site_label
_atom_site_fract_x
_atom_site_fract_y
_atom_site_fract_z
_atom_site_occupancy
Al1 0.000 0.000 0.000 1
As1 0.250 0.250 0.750 1
Cl1 0.000 0.000 0.500 1
Cl2 0.250 0.250 0.250 1